A geometry-optimized ScHgBI2 structure. Source: the Alexandria database, functional GGA-PBE.

abc: 5.496 4.654 5.496
angles: 90.00 90.00 90.00
Positions (direct):
1 B 0.000 0.000 0.000
2 I 0.500 0.000 0.000
3 I 0.000 0.000 0.500
4 Sc 0.000 0.500 0.000
5 Hg 0.500 0.500 0.500

ΔE_f (raw) (eV/atom): 0.376
Total energy (eV/atom): -2.9058